# 1
NbMo2Au: relaxed, PBE.

## Properties
* energy relative to the lowest polymorph listed for this composition: 0 meV/atom
* total energy: -8.423 eV per atom

Lattice parameters (Å, degrees): 6.4706 6.4706 6.4706 90.00 90.00 90.00
Space group Fm-3m (No. 225)
Inequivalent atoms, fractional coordinates:
1 Nb 0.0000 0.0000 0.0000
2 Mo 0.2500 0.2500 0.2500
3 Au 0.0000 0.0000 0.5000



# 2
Nb2MoOsAu: relaxed, PBE.

## Properties
* total energy: -7.942 eV per atom

Lattice parameters (Å, degrees): 4.8328 4.8328 4.7139 90.00 90.00 90.00
Space group P4/mmm (No. 123)
Inequivalent atoms, fractional coordinates:
1 Nb 0.0000 0.5000 0.0000
2 Mo 0.0000 0.0000 0.5000
3 Os 0.0000 0.0000 0.0000
4 Au 0.5000 0.5000 0.5000



# 3
NbReMo2Au: relaxed, PBE.

## Properties
* total energy: -6.997 eV per atom

Lattice parameters (Å, degrees): 4.7563 4.7563 4.8349 90.00 90.00 90.00
Space group P4/mmm (No. 123)
Inequivalent atoms, fractional coordinates:
1 Nb 0.0000 0.0000 0.0000
2 Re 0.5000 0.5000 0.0000
3 Mo 0.0000 0.5000 0.5000
4 Au 0.0000 0.0000 0.5000



# 4
NbMo2AuS: relaxed, PBE.

## Properties
* total energy: -5.772 eV per atom
* formation energy from raw total energies: 2.056 eV/atom

Lattice parameters (Å, degrees): 4.9871 4.9871 4.4922 90.00 90.00 90.00
Space group P4/mmm (No. 123)
Inequivalent atoms, fractional coordinates:
1 Nb 0.0000 0.0000 0.0000
2 Mo 0.0000 0.5000 0.5000
3 Au 0.5000 0.5000 0.5000
4 S 0.5000 0.5000 0.0000



| no. | spin magnetization (μB per formula unit) |
| --- | --- |
| 1 | 0.00 |
| 2 | 0.00 |
| 3 | 0.98 |
| 4 | 1.57 |